Crystalline CePaSb at its relaxed geometry, computed with PBE.

Summary:
As for the calculated volume: 24.69 Å³ per atom. Its density is 11.052 g cm⁻³. The value obtained for the energy relative to the elements, uncorrected is -0.13 eV per atom. The energy above the most stable polymorph in this dataset is 275 meV per atom.

Cell and atoms, written as POSCAR:
```
CePaSb
1.0
-1.217 2.796 1.038
-2.260 -2.444 3.933
4.768 1.878 0.532
Sb Pa Ce
1 1 1
Direct
0.667 0.333 0.667
0.167 0.667 0.333
0.166 0.000 0.000
```